[1]
Material: PrAl12Ag4
Method: DFT, PBE
State: optimized geometry

abc: 7.761 7.761 7.761
angles: 109.47 109.47 109.47
Fractional positions:
Al1 0.648 0.801 0.153
Al2 0.496 0.847 0.648
Ag1 0.500 0.500 0.500
Pr1 0.000 0.000 0.000
Al3 0.504 0.153 0.352
Ag2 0.000 0.500 0.000
Al4 0.847 0.648 0.496
Al5 0.648 0.496 0.847
Ag3 0.000 0.000 0.500
Al6 0.352 0.504 0.153
Al7 0.801 0.153 0.648
Al8 0.352 0.199 0.847
Al9 0.153 0.648 0.801
Ag4 0.500 0.000 0.000
Al10 0.199 0.847 0.352
Al11 0.153 0.352 0.504
Al12 0.847 0.352 0.199

- Symmetry: Im-3


[2]
Material: Pr3Al6Ag5
Method: DFT, PBE
State: optimized geometry

abc: 4.590 9.483 13.518
angles: 90.00 90.00 90.00
Fractional positions:
Pr1 0.000 0.249 0.704
Al1 0.000 0.612 0.658
Pr2 0.500 0.738 0.500
Pr3 0.500 0.751 0.204
Pr4 0.500 0.751 0.796
Al2 0.500 0.388 0.158
Al3 0.000 0.970 0.138
Ag1 0.500 0.109 0.843
Ag2 0.000 0.757 0.000
Ag3 0.000 0.891 0.657
Pr5 0.000 0.249 0.296
Al4 0.000 0.064 0.500
Ag4 0.000 0.528 0.142
Ag5 0.500 0.472 0.358
Al5 0.500 0.030 0.362
Al6 0.000 0.970 0.862
Pr6 0.000 0.262 0.000
Al7 0.000 0.438 0.500
Al8 0.000 0.612 0.342
Al9 0.500 0.936 0.000
Ag6 0.500 0.109 0.157
Ag7 0.500 0.472 0.642
Al10 0.500 0.388 0.842
Ag8 0.500 0.243 0.500
Ag9 0.000 0.528 0.858
Al11 0.500 0.030 0.638
Ag10 0.000 0.891 0.343
Al12 0.500 0.562 0.000

- Symmetry: Pmmn


[3]
Material: Pr2Al3Ag
Method: DFT, PBE
State: optimized geometry

abc: 5.802 5.802 9.058
angles: 90.00 90.00 120.00
Fractional positions:
Pr1 0.667 0.333 0.076
Pr2 0.667 0.333 0.424
Ag1 0.000 0.000 0.000
Al1 0.171 0.341 0.250
Al2 0.829 0.171 0.750
Pr3 0.333 0.667 0.924
Al3 0.659 0.829 0.250
Al4 0.341 0.171 0.750
Ag2 0.000 0.000 0.500
Al5 0.829 0.659 0.750
Al6 0.171 0.829 0.250
Pr4 0.333 0.667 0.576

- Excess energy over the best structure of this formula in the dataset: 0.00 eV/f.u.
- Symmetry: P6_3/mmc


[4]
Material: Pr6AlAg
Method: DFT, PBE
State: optimized geometry

abc: 5.300 5.300 9.758
angles: 74.26 74.25 89.92
Fractional positions:
Pr1 0.894 0.394 0.212
Pr2 0.106 0.606 0.788
Al1 0.500 0.500 0.000
Pr3 0.747 0.747 0.506
Pr4 0.394 0.894 0.212
Ag1 0.000 0.000 0.000
Pr5 0.606 0.106 0.788
Pr6 0.253 0.253 0.494

- Excess energy over the best structure of this formula in the dataset: 0.00 eV/f.u.
- Symmetry: Fmmm


[5]
Material: PrAl12Ag6
Method: DFT, PBE
State: optimized geometry

abc: 7.370 7.370 7.370
angles: 103.12 103.12 103.12
Fractional positions:
Al1 0.618 0.862 0.618
Pr1 0.000 0.000 0.000
Al2 0.500 0.109 0.891
Ag1 0.708 0.708 0.283
Al3 0.382 0.382 0.138
Al4 0.138 0.382 0.382
Al5 0.382 0.138 0.382
Al6 0.891 0.500 0.109
Ag2 0.283 0.708 0.708
Al7 0.862 0.618 0.618
Al8 0.891 0.109 0.500
Ag3 0.717 0.292 0.292
Al9 0.109 0.500 0.891
Ag4 0.292 0.292 0.717
Ag5 0.292 0.717 0.292
Al10 0.109 0.891 0.500
Al11 0.500 0.891 0.109
Ag6 0.708 0.283 0.708
Al12 0.618 0.618 0.862

- Symmetry: R-3m


[6]
Material: Pr12AlAg6
Method: DFT, PBE
State: optimized geometry

abc: 8.190 8.190 8.190
angles: 87.98 87.98 87.98
Fractional positions:
Ag1 0.742 0.895 0.255
Pr1 0.854 0.636 0.992
Pr2 0.146 0.364 0.008
Pr3 0.806 0.538 0.449
Ag2 0.105 0.745 0.258
Pr4 0.364 0.008 0.146
Pr5 0.194 0.462 0.551
Pr6 0.538 0.449 0.806
Ag3 0.255 0.742 0.895
Ag4 0.895 0.255 0.742
Al1 0.000 0.000 0.000
Pr7 0.462 0.551 0.194
Ag5 0.258 0.105 0.745
Pr8 0.008 0.146 0.364
Pr9 0.551 0.194 0.462
Ag6 0.745 0.258 0.105
Pr10 0.449 0.806 0.538
Pr11 0.636 0.992 0.854
Pr12 0.992 0.854 0.636

- Symmetry: R-3


Record-wise energy relative to the elements values, in meV per atom: 161, -337, -437, -126, 2, -68